{
  "formula": "Ca4Hg5",
  "functional": "PBE",
  "state": "relaxed",
  "space_group": "I4/mmm (139)",
  "dos_at_fermi_per_ev_cell": 5.9,
  "magmom_total_mub_per_atom": 0.000,
  "delta_e_f_kj_per_mol_atoms": -36.7,
  "lattice": [[6.009, -4.589, -0.159], [-5.439, 2.404, 4.673], [-4.458, -4.299, -4.340]],
  "species": ["Ca", "Ca", "Ca", "Ca", "Hg", "Hg", "Hg", "Hg", "Hg"],
  "frac_coords": [[0.699, 0.000, 0.699], [0.301, 0.000, 0.301], [0.000, 0.301, 0.301], [0.000, 0.699, 0.699], [0.000, 0.000, 0.000], [0.665, 0.335, 0.000], [0.335, 0.665, 0.000], [0.335, 0.335, 0.670], [0.665, 0.665, 0.330]]
}

{
  "formula": "RbPaGe2O8",
  "functional": "PBE",
  "state": "relaxed",
  "space_group": "R-3m (166)",
  "e_form_raw_ev_per_atom": -1.88,
  "dos_at_fermi_per_ev_cell": 10.4,
  "magmom_total_mub_per_atom": 0.171,
  "lattice": [[-0.783, -3.561, -4.661], [2.436, -5.392, -0.045], [-6.257, -6.089, 1.946]],
  "species": ["Rb", "Pa", "Ge", "Ge", "O", "O", "O", "O", "O", "O", "O", "O"],
  "frac_coords": [[0.000, 0.000, 0.000], [0.500, 0.500, 0.500], [0.760, 0.760, 0.721], [0.240, 0.240, 0.279], [0.688, 0.688, 0.936], [0.312, 0.312, 0.064], [0.380, 0.380, 0.347], [0.620, 0.620, 0.653], [0.108, 0.620, 0.653], [0.380, 0.892, 0.347], [0.892, 0.380, 0.347], [0.620, 0.108, 0.653]]
}

{
  "formula": "KCdCl2",
  "functional": "PBE",
  "state": "relaxed",
  "space_group": "I-42d (122)",
  "e_form_raw_ev_per_atom": -1.13,
  "dos_at_fermi_per_ev_cell": 0.4,
  "magmom_total_mub_per_atom": 0.000,
  "lattice": [[6.487, 0.000, 0.000], [0.000, 6.487, 0.000], [3.243, 3.243, 7.408]],
  "species": ["K", "K", "Cl", "Cl", "Cl", "Cl", "Cd", "Cd"],
  "frac_coords": [[0.500, 0.500, 0.000], [0.250, 0.750, 0.500], [0.668, 0.125, 0.250], [0.082, 0.625, 0.250], [0.375, 0.332, 0.750], [0.875, 0.918, 0.750], [0.000, 0.000, 0.000], [0.750, 0.250, 0.500]]
}

{
  "formula": "La2HIN",
  "functional": "PBE",
  "state": "relaxed",
  "space_group": "P4/mmm (123)",
  "dos_at_fermi_per_ev_cell": 6.3,
  "e_tot_ev_per_atom": -3.79,
  "magmom_total_mub_per_atom": 0.000,
  "lattice": [[-3.436, 0.335, -4.801], [-3.335, -1.463, 2.285], [-1.455, 5.550, 1.429]],
  "species": ["I", "H", "N", "La", "La"],
  "frac_coords": [[0.000, 0.000, 0.000], [0.500, 0.500, 0.500], [0.000, 0.500, 0.000], [0.000, 0.000, 0.500], [0.500, 0.000, 0.000]]
}

{
  "formula": "Pm2MnIn",
  "functional": "PBE",
  "state": "relaxed",
  "space_group": "P4/mmm (123)",
  "dos_at_fermi_per_ev_cell": 3.3,
  "magmom_total_mub_per_atom": 0.778,
  "delta_e_f_kj_per_mol_atoms": -9.6,
  "lattice": [[-1.592, 3.319, 0.214], [-3.160, -1.435, -1.247], [-2.204, -1.530, 7.343]],
  "species": ["In", "Mn", "Pm", "Pm"],
  "frac_coords": [[0.500, 0.500, 0.500], [0.500, 0.500, 0.000], [0.000, 0.000, 0.769], [0.000, 0.000, 0.231]]
}

{
  "formula": "ReRh",
  "functional": "PBE",
  "state": "relaxed",
  "space_group": "P2/m (10)",
  "dos_at_fermi_per_ev_cell": 8.4,
  "magmom_total_mub_per_atom": 0.000,
  "delta_e_f_kj_per_mol_atoms": 23.9,
  "lattice": [[4.591, 0.000, 0.000], [0.000, 4.812, -0.032], [0.000, 0.382, 5.391]],
  "species": ["Re", "Re", "Re", "Re", "Rh", "Rh", "Rh", "Rh"],
  "frac_coords": [[0.000, 0.003, 0.761], [0.500, 0.235, 0.852], [0.500, 0.765, 0.148], [0.000, 0.997, 0.239], [0.000, 0.500, 0.000], [0.500, 0.252, 0.364], [0.000, 0.500, 0.500], [0.500, 0.748, 0.636]]
}

{
  "formula": "Y3Tm2PuS6",
  "functional": "PBE",
  "state": "relaxed",
  "space_group": "C2/m (12)",
  "e_form_raw_ev_per_atom": -1.96,
  "dos_at_fermi_per_ev_cell": 7.0,
  "magmom_total_mub_per_atom": 0.492,
  "lattice": [[-3.844, -0.436, -0.308], [1.068, -5.719, -5.232], [1.795, -3.917, 7.578]],
  "species": ["Y", "Y", "Y", "Tm", "Tm", "Pu", "S", "S", "S", "S", "S", "S"],
  "frac_coords": [[0.500, 0.500, 0.000], [0.836, 0.164, 0.671], [0.164, 0.836, 0.329], [0.836, 0.672, 0.672], [0.164, 0.328, 0.328], [0.500, 0.000, 0.000], [0.331, 0.911, 0.662], [0.670, 0.579, 0.339], [0.669, 0.089, 0.338], [0.002, 0.253, 0.003], [0.998, 0.747, 0.997], [0.330, 0.421, 0.661]]
}

{
  "formula": "Fe13Si3",
  "functional": "PBE",
  "state": "relaxed",
  "space_group": "Amm2 (38)",
  "e_form_raw_ev_per_atom": -0.15,
  "dos_at_fermi_per_ev_cell": 12.1,
  "magmom_total_mub_per_atom": 1.730,
  "lattice": [[5.598, -0.055, 0.000], [-0.075, 5.597, 0.000], [0.000, 0.000, 5.831]],
  "species": ["Fe", "Fe", "Fe", "Fe", "Fe", "Fe", "Fe", "Fe", "Fe", "Fe", "Fe", "Fe", "Fe", "Si", "Si", "Si"],
  "frac_coords": [[0.503, 0.003, 0.249], [0.496, 0.504, 0.252], [0.997, 0.497, 0.249], [0.753, 0.758, 0.000], [0.242, 0.247, 0.000], [0.248, 0.752, 0.000], [0.503, 0.003, 0.751], [0.496, 0.504, 0.748], [0.997, 0.497, 0.751], [0.750, 0.250, 0.500], [0.754, 0.751, 0.500], [0.249, 0.246, 0.500], [0.256, 0.744, 0.500], [0.013, 0.987, 0.259], [0.731, 0.269, 0.000], [0.013, 0.987, 0.741]]
}